12
Lattice="-4.837 2.665 3.844 -1.521 -4.654 -4.616 3.035 -3.921 4.582" Properties=species:S:1:pos:R:3 comment="Tb3ErTm2S6, relaxed, DFT GGA-PBE" magnetic_moment_mub_per_atom=0.000 total_energy_ev_per_cell=-75.91 formation_energy_uncorrected_ev_per_fu=-23.7 pbc="T T T"
Tb -1.662 -2.955 1.905
Tm -2.627 -2.214 -1.795
S -0.287 -2.670 -0.495
Er 0.000 0.000 0.000
Tb -2.770 -0.511 4.730
Tm -3.732 0.225 1.023
S -4.009 -2.433 0.534
S -1.396 -0.220 2.336
S 0.685 -3.476 3.276
S -1.928 -5.689 1.474
Tb -0.554 -5.399 -0.920
S -3.037 -3.240 4.305